1.
Here is a relaxed TaIn2Mo crystal from the Alexandria database. Energies are from PBEsol.

Structure (CIF):
```
data_TaIn2Mo
_chemical_formula_sum 'Ta1 In2 Mo1'
_space_group_name_H-M_alt 'P 4 m m'
_space_group_IT_number 99
_space_group_name_Hall 'P 4 -2'
_cell_length_a 2.880
_cell_length_b 2.880
_cell_length_c 9.297
_cell_angle_alpha 90.00
_cell_angle_beta 90.00
_cell_angle_gamma 90.00
loop_
_atom_site_label
_atom_site_type_symbol
_atom_site_fract_x
_atom_site_fract_y
_atom_site_fract_z
Ta1 Ta 0.000 0.000 0.000
In1 In 0.000 0.000 0.540
In2 In 0.500 0.500 0.242
Mo1 Mo 0.500 0.500 0.773
```

Distance to the lowest polymorph of the same formula   0.1192 eV/atom
Density   10.91 Mg/m³
Formation enthalpy at 0 K   368 meV/atom

=====

2.
Here is a relaxed KScMo3 crystal from the Alexandria database. Energies are from PBEsol.

Structure (CIF):
```
data_KScMo3
_chemical_formula_sum 'K1 Sc1 Mo3'
_space_group_name_H-M_alt 'P m -3 m'
_space_group_IT_number 221
_space_group_name_Hall '-P 4 2 3'
_cell_length_a 4.766
_cell_length_b 4.766
_cell_length_c 4.766
_cell_angle_alpha 90.00
_cell_angle_beta 90.00
_cell_angle_gamma 90.00
loop_
_atom_site_label
_atom_site_type_symbol
_atom_site_fract_x
_atom_site_fract_y
_atom_site_fract_z
K1 K 0.000 0.000 0.000
Sc1 Sc 0.500 0.500 0.500
Mo1 Mo 0.000 0.500 0.500
```

Density   5.70 Mg/m³
Formation enthalpy at 0 K   2319 meV/atom

=====

3.
Here is a relaxed GaH2RuF crystal from the Alexandria database. Energies are from PBEsol.

Structure (CIF):
```
data_GaH2RuF
_chemical_formula_sum 'Ga1 H2 Ru1 F1'
_space_group_name_H-M_alt 'P 4/m m m'
_space_group_IT_number 123
_space_group_name_Hall '-P 4 2'
_cell_length_a 3.319
_cell_length_b 3.319
_cell_length_c 5.064
_cell_angle_alpha 90.00
_cell_angle_beta 90.00
_cell_angle_gamma 90.00
loop_
_atom_site_label
_atom_site_type_symbol
_atom_site_fract_x
_atom_site_fract_y
_atom_site_fract_z
Ga1 Ga 0.000 0.000 0.000
H1 H 0.000 0.500 0.000
Ru1 Ru 0.000 0.000 0.500
F1 F 0.500 0.500 0.500
```

Electronic total energy   -4.0189 eV/atom
Density   5.71 Mg/m³

=====

4.
Here is a relaxed La5Ag crystal from the Alexandria database. Energies are from PBEsol.

Structure (CIF):
```
data_La5Ag
_chemical_formula_sum 'La10 Ag2'
_space_group_name_H-M_alt 'C 1 m 1'
_space_group_IT_number 8
_space_group_name_Hall 'C -2y'
_cell_length_a 12.372
_cell_length_b 3.708
_cell_length_c 8.728
_cell_angle_alpha 90.00
_cell_angle_beta 110.34
_cell_angle_gamma 90.00
loop_
_atom_site_label
_atom_site_type_symbol
_atom_site_fract_x
_atom_site_fract_y
_atom_site_fract_z
La1 La 0.000 0.000 0.000
La2 La 0.009 0.000 0.423
La3 La 0.175 0.500 0.806
La4 La 0.211 0.500 0.292
La5 La 0.362 0.000 0.649
Ag1 Ag 0.329 0.000 0.102
```

Distance to the lowest polymorph of the same formula   0.0162 eV/atom
Density   7.10 Mg/m³
Formation enthalpy at 0 K   -55 meV/atom

=====

5.
Here is a relaxed Na2Pt crystal from the Alexandria database. Energies are from PBEsol.

Structure (CIF):
```
data_Na2Pt
_chemical_formula_sum 'Na8 Pt4'
_space_group_name_H-M_alt 'C m c m'
_space_group_IT_number 63
_space_group_name_Hall '-C 2c 2'
_cell_length_a 2.759
_cell_length_b 16.489
_cell_length_c 4.967
_cell_angle_alpha 90.00
_cell_angle_beta 90.00
_cell_angle_gamma 90.00
loop_
_atom_site_label
_atom_site_type_symbol
_atom_site_fract_x
_atom_site_fract_y
_atom_site_fract_z
Na1 Na 0.000 0.045 0.250
Na2 Na 0.000 0.284 0.750
Pt1 Pt 0.000 0.379 0.250
```

Density   7.08 Mg/m³
Formation enthalpy at 0 K   -35 meV/atom

=====

6.
Here is a relaxed LaSc2Cd crystal from the Alexandria database. Energies are from PBEsol.

Structure (CIF):
```
data_LaSc2Cd
_chemical_formula_sum 'La1 Sc2 Cd1'
_space_group_name_H-M_alt 'P m m 2'
_space_group_IT_number 25
_space_group_name_Hall 'P 2 -2'
_cell_length_a 3.372
_cell_length_b 4.526
_cell_length_c 6.602
_cell_angle_alpha 90.00
_cell_angle_beta 90.00
_cell_angle_gamma 90.00
loop_
_atom_site_label
_atom_site_type_symbol
_atom_site_fract_x
_atom_site_fract_y
_atom_site_fract_z
La1 La 0.000 0.000 0.000
Sc1 Sc 0.000 0.000 0.512
Sc2 Sc 0.500 0.500 0.288
Cd1 Cd 0.500 0.500 0.738
```

Density   5.62 Mg/m³
Formation enthalpy at 0 K   -80 meV/atom

=====

7.
Here is a relaxed RbCrSbI2 crystal from the Alexandria database. Energies are from PBEsol.

Structure (CIF):
```
data_RbCrSbI2
_chemical_formula_sum 'Rb1 Cr1 Sb1 I2'
_space_group_name_H-M_alt 'P 4/m m m'
_space_group_IT_number 123
_space_group_name_Hall '-P 4 2'
_cell_length_a 5.720
_cell_length_b 5.720
_cell_length_c 5.107
_cell_angle_alpha 90.00
_cell_angle_beta 90.00
_cell_angle_gamma 90.00
loop_
_atom_site_label
_atom_site_type_symbol
_atom_site_fract_x
_atom_site_fract_y
_atom_site_fract_z
Rb1 Rb 0.000 0.000 0.000
Cr1 Cr 0.500 0.500 0.500
Sb1 Sb 0.500 0.500 0.000
I1 I 0.000 0.500 0.500
```

Formation energy without anion corrections   -0.28 eV per atom
Density   5.10 Mg/m³

=====

8.
Here is a relaxed Sr2CuAg crystal from the Alexandria database. Energies are from PBEsol.

Structure (CIF):
```
data_Sr2CuAg
_chemical_formula_sum 'Sr4 Cu2 Ag2'
_space_group_name_H-M_alt 'I -4 m 2'
_space_group_IT_number 119
_space_group_name_Hall 'I -4 -2'
_cell_length_a 4.479
_cell_length_b 4.479
_cell_length_c 10.794
_cell_angle_alpha 90.00
_cell_angle_beta 90.00
_cell_angle_gamma 90.00
loop_
_atom_site_label
_atom_site_type_symbol
_atom_site_fract_x
_atom_site_fract_y
_atom_site_fract_z
Sr1 Sr 0.000 0.000 0.000
Sr2 Sr 0.000 0.500 0.250
Cu1 Cu 0.000 0.500 0.750
Ag1 Ag 0.000 0.000 0.500
```

Density   5.32 Mg/m³
Formation enthalpy at 0 K   116 meV/atom